Compound: Mn2ReAg
Source: Alexandria
Functional: PBE
Structure: relaxed

```
Mn2ReAg
1.0
-6.7554 5.6080 -0.9565
-7.6740 4.1708 1.3091
-5.9031 6.3607 1.6414
Ag Mn Re
1 2 1
Cartesian
-15.2493 12.1047 1.4955 Ag
-20.2268 16.0557 1.9837 Mn
-10.2719 8.1537 1.0074 Mn
-5.0831 4.0349 0.4985 Re
```

Total DFT energy (no corrections)   -8.07 eV per atom
Energy above the most stable polymorph in this dataset   77 meV/atom
Magnetization   1.52 μB per atom
V   60.4 Å³/cell
Energy relative to the elements   0.336 eV per atom

---

Compound: MnRe2Ag
Source: Alexandria
Functional: PBE
Structure: relaxed

```
MnRe2Ag
1.0
-1.8554 -1.9816 -2.6304
3.1686 -1.9064 -0.7988
-1.0033 -2.8702 2.8701
Ag Mn Re
1 1 2
Cartesian
-1.4294 -2.4259 0.1199 Ag
1.0826 -2.3883 1.0356 Mn
0.0000 0.0000 0.0000 Re
0.6566 -1.9440 -1.7146 Re
```

Total DFT energy (no corrections)   -8.72 eV per atom
Energy above the most stable polymorph in this dataset   228 meV/atom
Magnetization   0.66 μB per atom
V   59.8 Å³/cell
Energy relative to the elements   0.509 eV per atom